This record from the Alexandria database describes a geometry-optimized Ac4Tb4Nd3 structure. The functional is PBE.

abc: 3.7030 5.8289 19.6283
angles: 98.54 79.09 90.00
Last column: nearest neighbours and their distance in Å.
Fractional positions:
Ac: 0.3992 0.5514 0.1026  3 Ac 3.70-3.91, 4 Tb 3.79-3.80, 6 Nd 3.83-3.97
Ac: 0.6007 0.4487 0.8974  3 Ac 3.70-3.91, 4 Tb 3.79-3.80, 6 Nd 3.83-3.97
Ac: 0.8663 0.8163 0.6326  2 Ac 3.70, 8 Tb 3.84-3.94, 4 Nd 3.84-3.85
Ac: 0.1337 0.1837 0.3674  2 Ac 3.70, 8 Tb 3.84-3.94, 4 Nd 3.84-3.85
Tb: 0.8158 0.0925 0.1852  3 Nd 3.41-3.53, 2 Tb 3.70, 4 Ac 3.79-3.80
Tb: 0.4558 0.2719 0.5439  4 Tb 3.36-3.70, 1 Nd 3.39
Tb: 0.5442 0.7281 0.4560  4 Tb 3.36-3.70, 1 Nd 3.38
Tb: 0.1841 0.9075 0.8149  3 Nd 3.41-3.53, 2 Tb 3.70, 4 Ac 3.79-3.80
Nd: 0.7238 0.6391 0.2784  3 Tb 3.38-3.41, 2 Nd 3.70
Nd: 0.2762 0.3609 0.7216  3 Tb 3.39-3.41, 2 Nd 3.70
Nd: 0.0000 0.0000 0.0000  2 Tb 3.53, 2 Nd 3.70

Space group: C2/m (12)
Formation energy from the elements, meV per atom: 55

This record from the Alexandria database describes a geometry-optimized BRuRh3 structure. The functional is PBE.

abc: 4.0781 4.0781 4.0781
angles: 90.00 90.00 90.00
Last column: nearest neighbours and their distance in Å.
Fractional positions:
Ru: 0.5000 0.5000 0.5000  12 Rh 2.88
B: 0.0000 0.0000 0.0000  6 Rh 2.04
Rh: 0.0000 0.5000 0.0000  2 B 2.04
Rh: 0.0000 0.0000 0.5000  2 B 2.04
Rh: 0.5000 0.0000 0.0000  2 B 2.04

Energy above the most stable polymorph in this dataset, eV per formula unit: 0.00
Space group: Pm-3m (221)
Formation energy from the elements, meV per atom: 225

This record from the Alexandria database describes a geometry-optimized DyAlGe2O7 structure. The functional is PBE.

abc: 6.5400 7.2417 12.7093
angles: 61.82 90.00 90.00
Last column: nearest neighbours and their distance in Å.
Fractional positions:
Dy: 0.3535 0.7435 0.5297  6 O 2.26-2.46
Dy: 0.6465 0.2565 0.4703  6 O 2.26-2.46
Dy: 0.8535 0.2565 0.9703  6 O 2.26-2.46
Dy: 0.1465 0.7435 0.0297  6 O 2.26-2.46
Al: 0.4021 0.7099 0.2722  5 O 1.80-1.94
Al: 0.5979 0.2901 0.7278  5 O 1.80-1.94
Al: 0.9021 0.2901 0.2278  5 O 1.80-1.94
Al: 0.0979 0.7099 0.7722  5 O 1.80-1.94
Ge: 0.6582 0.7151 0.0469  4 O 1.73-1.80
Ge: 0.3418 0.2849 0.9531  4 O 1.73-1.80
Ge: 0.1582 0.2849 0.4531  4 O 1.73-1.80
Ge: 0.8418 0.7151 0.5469  4 O 1.73-1.80
Ge: 0.9122 0.8048 0.2768  4 O 1.76-1.83
Ge: 0.0878 0.1952 0.7232  4 O 1.76-1.83
Ge: 0.4122 0.1952 0.2232  4 O 1.76-1.83
Ge: 0.5878 0.8048 0.7768  4 O 1.76-1.83
O: 0.3834 0.9201 0.3106  1 Ge 1.77, 1 Al 1.81
O: 0.6166 0.0799 0.6894  1 Ge 1.77, 1 Al 1.81
O: 0.8834 0.0799 0.1894  1 Ge 1.77, 1 Al 1.81
O: 0.1166 0.9201 0.8106  1 Ge 1.77, 1 Al 1.81
O: 0.8301 0.9114 0.0242  1 Ge 1.73
O: 0.1699 0.0886 0.9758  1 Ge 1.73
O: 0.3301 0.0886 0.4758  1 Ge 1.73
O: 0.6699 0.9114 0.5242  1 Ge 1.73
O: 0.6200 0.2776 0.2786  1 Ge 1.76, 1 Al 1.94
O: 0.3800 0.7224 0.7214  1 Ge 1.76, 1 Al 1.94
O: 0.1200 0.7224 0.2214  1 Ge 1.76, 1 Al 1.94
O: 0.8800 0.2776 0.7786  1 Ge 1.76, 1 Al 1.94
O: 0.0027 0.7549 0.4240  2 Ge 1.79-1.83
O: 0.9973 0.2451 0.5760  2 Ge 1.79-1.83
O: 0.5027 0.2451 0.0760  2 Ge 1.79-1.83
O: 0.4973 0.7549 0.9240  2 Ge 1.79-1.83
O: 0.4448 0.7112 0.1317  1 Ge 1.76, 1 Al 1.80
O: 0.5552 0.2888 0.8683  1 Ge 1.76, 1 Al 1.80
O: 0.9448 0.2888 0.3683  1 Ge 1.76, 1 Al 1.80
O: 0.0552 0.7112 0.6317  1 Ge 1.76, 1 Al 1.80
O: 0.8472 0.5143 0.0814  1 Ge 1.80, 1 Al 1.84
O: 0.1528 0.4857 0.9186  1 Ge 1.80, 1 Al 1.84
O: 0.3472 0.4857 0.4186  1 Ge 1.80, 1 Al 1.84
O: 0.6528 0.5143 0.5814  1 Ge 1.80, 1 Al 1.84
O: 0.6862 0.6555 0.3110  1 Ge 1.76, 1 Al 1.92
O: 0.3138 0.3445 0.6890  1 Ge 1.76, 1 Al 1.92
O: 0.1862 0.3445 0.1890  1 Ge 1.76, 1 Al 1.92
O: 0.8138 0.6555 0.8110  1 Ge 1.76, 1 Al 1.92

E, eV per cell: -316.19
Space group: P2_1/c (14)

This record from the Alexandria database describes a geometry-optimized IrPb2Au2 structure. The functional is PBE.

abc: 7.1405 7.1405 4.4674
angles: 90.00 90.00 90.00
Last column: nearest neighbours and their distance in Å.
Fractional positions:
Pb: 0.1776 0.6776 0.5000  6 Au 2.90-3.19
Pb: 0.6776 0.8224 0.5000  6 Au 2.90-3.19
Pb: 0.8224 0.3224 0.5000  6 Au 2.90-3.19
Pb: 0.3224 0.1776 0.5000  6 Au 2.90-3.19
Ir: 0.0000 0.0000 0.0000  4 Au 2.76
Ir: 0.5000 0.5000 0.0000  4 Au 2.76
Au: 0.3606 0.8606 0.0000  2 Ir 2.76, 1 Au 2.82, 2 Pb 2.90
Au: 0.8606 0.6394 0.0000  2 Ir 2.76, 1 Au 2.82, 2 Pb 2.90
Au: 0.6394 0.1394 0.0000  2 Ir 2.76, 1 Au 2.82, 2 Pb 2.90
Au: 0.1394 0.3606 0.0000  2 Ir 2.76, 1 Au 2.82, 2 Pb 2.90

Space group: P4/mbm (127)
Formation energy from the elements, meV per atom: 359

Number 1: theoretical density 8.0 g/cm³. Number 2: theoretical density 10.3 g/cm³. Number 3: theoretical density 5.6 g/cm³. Number 4: theoretical density 14.6 g/cm³.